# 1
First-principles (GGA-PBE) data for a geometry-optimized LaCeEu structure, as listed in Alexandria via LeMat-Bulk.

Results
relative energy among the computed polymorphs: 19 meV per atom
SG: P3m1
DOS at the Fermi energy: 2.4471 states/eV per atom
E_tot: -6.919 eV per atom
ΔH_f (0 K): 0.38 eV/f.u.

Lattice parameters (Å, degrees): 3.6328 3.6328 9.1191 90.00 90.00 120.00
With the nearest neighbours (Å) after each atom.
Element x y z (fractional)
La1 0.0000 0.0000 0.0000  3 Ce 3.52, 6 La 3.63, 3 Eu 3.89
Ce1 0.6667 0.3333 0.3098  3 La 3.52, 6 Ce 3.63, 3 Eu 3.68
Eu1 0.3333 0.6667 0.6412  6 Eu 3.63, 3 Ce 3.68, 3 La 3.89



# 2
First-principles (GGA-PBE) data for a geometry-optimized SrCo2Cu structure, as listed in Alexandria via LeMat-Bulk.

Results
relative energy among the computed polymorphs: 367 meV per atom
SG: I4_1/amd
DOS at the Fermi energy: 1.8204 states/eV per atom
E_tot: -4.527 eV per atom
ΔH_f (0 K): 1.88 eV/f.u.

Lattice parameters (Å, degrees): 9.0343 9.0343 9.0343 151.26 151.26 41.09
With the nearest neighbours (Å) after each atom.
Element x y z (fractional)
Sr1 0.3750 0.6250 0.7500  4 Cu 3.17, 8 Co 3.28
Sr2 0.6250 0.3750 0.2500  4 Cu 3.17, 8 Co 3.28
Co1 0.0000 0.0000 0.0000  2 Co 2.24, 2 Cu 2.39
Co2 0.0000 0.0000 0.5000  2 Co 2.24, 2 Cu 2.39
Co3 0.0000 0.5000 0.0000  2 Co 2.24, 2 Cu 2.39
Co4 0.5000 0.0000 0.5000  2 Co 2.24, 2 Cu 2.39
Cu1 0.1250 0.8750 0.2500  4 Co 2.39
Cu2 0.8750 0.1250 0.7500  4 Co 2.39



# 3
First-principles (GGA-PBE) data for a geometry-optimized Tm6TlZn structure, as listed in Alexandria via LeMat-Bulk.

Results
SG: I4/mmm
DOS at the Fermi energy: 1.1610 states/eV per atom
E_tot: -3.955 eV per atom
ΔH_f (0 K): -1.17 eV/f.u.

Lattice parameters (Å, degrees): 9.5741 9.5741 9.5741 149.91 149.91 43.08
With the nearest neighbours (Å) after each atom.
Element x y z (fractional)
Tm1 0.1123 0.6123 0.5000  2 Tl 3.19, 2 Zn 3.19, 8 Tm 3.48-3.51
Tm2 0.2491 0.2491 0.0000  12 Tm 3.48-3.52
Tm3 0.3877 0.8877 0.5000  2 Tl 3.19, 2 Zn 3.19, 8 Tm 3.48-3.51
Tm4 0.6123 0.1123 0.5000  2 Tl 3.19, 2 Zn 3.19, 8 Tm 3.48-3.51
Tm5 0.7509 0.7509 0.0000  12 Tm 3.48-3.52
Tm6 0.8877 0.3877 0.5000  2 Tl 3.19, 2 Zn 3.19, 8 Tm 3.48-3.51
Tl1 0.5000 0.5000 0.0000  8 Tm 3.19, 4 Zn 3.51
Zn1 0.0000 0.0000 0.0000  8 Tm 3.19, 4 Tl 3.51



# 4
First-principles (GGA-PBE) data for a geometry-optimized BaGe2Pb2 structure, as listed in Alexandria via LeMat-Bulk.

Results
relative energy among the computed polymorphs: 0 meV per atom
SG: I4/mmm
DOS at the Fermi energy: 0.2609 states/eV per atom
E_tot: -3.974 eV per atom
ΔH_f (0 K): -1.29 eV/f.u.

Lattice parameters (Å, degrees): 7.1735 7.1735 7.1735 139.41 139.41 58.75
With the nearest neighbours (Å) after each atom.
Element x y z (fractional)
Ba1 0.0000 0.0000 0.0000  8 Ge 3.74, 8 Pb 3.99
Ge1 0.3989 0.3989 0.0000  1 Ge 2.53
Ge2 0.6011 0.6011 0.0000  1 Ge 2.53
Pb1 0.2500 0.7500 0.5000  4 Ge 3.11
Pb2 0.7500 0.2500 0.5000  4 Ge 3.11



Question: What is the formula in the first record?
Answer: LaCeEu



Question: What is the ΔH_f (0 K) in the third record?
Answer: -1.17 eV/f.u.



Question: Which of these has the lowest DOS at the Fermi energy?
Answer: BaGe2Pb2